No. 1
# Ce2FePt9

A relaxed Ce2FePt9 crystal (PBE-GGA, Alexandria via LeMat-Bulk).

abc: 4.106 4.106 12.164
angles: 90.00 90.00 90.00
Site moments in Bohr magnetons follow the coordinates.
Positions (direct):
Ce  0.000  0.000  0.675  -0.02
Pt  0.500  0.000  0.153  0.20
Pt  0.500  0.500  0.000  0.29
Pt  0.500  0.000  0.847  0.20
Ce  0.000  0.000  0.325  -0.02
Pt  0.000  0.500  0.500  0.02
Pt  0.500  0.500  0.326  0.04
Fe  0.000  0.000  0.000  3.42
Pt  0.000  0.500  0.153  0.20
Pt  0.000  0.500  0.847  0.20
Pt  0.500  0.500  0.674  0.04
Pt  0.500  0.000  0.500  0.02

***

No. 2
# Gd2InN

A relaxed Gd2InN crystal (PBE-GGA, Alexandria via LeMat-Bulk).

abc: 3.577 3.577 8.293
angles: 77.55 77.55 60.00
Site moments in Bohr magnetons follow the coordinates.
Positions (direct):
Gd  0.277  0.277  0.169  7.15
Gd  0.723  0.723  0.831  7.15
N  0.000  0.000  0.000  -0.11
In  0.500  0.500  0.500  -0.01

Computed properties:
ΔE_f (raw), eV/f.u.: -3.9
E above lowest polymorph, eV/atom: 0.0000

***

No. 3
# InMo

A relaxed InMo crystal (PBE-GGA, Alexandria via LeMat-Bulk).

abc: 4.483 4.483 4.483
angles: 60.00 60.00 60.00
Site moments in Bohr magnetons follow the coordinates.
Positions (direct):
In  0.000  0.000  0.000  0.04
Mo  0.750  0.750  0.750  2.55

Computed properties:
E above lowest polymorph, eV/atom: 1.9052

***

no.,density (g/cm³),final energy (eV/cell)
1,16.93,-83.13
2,8.27,-43.10
3,5.49,-9.33